# 1
Entry from the Open Quantum Materials Database: a geometry-optimized PrErAs2Pt2 structure (PBE).

Properties
For the distance to the lowest polymorph of the same formula, the calculation gives 0.000 eV/atom. As for the crystal system: hexagonal.

a = 4.3191 Å, b = 4.3191 Å, c = 15.5361 Å
α = 90.00°, β = 90.00°, γ = 120.00°
Space group P6_3/mmc (No. 194)
Symmetry-distinct sites (fractional):
Pr (0.0000, 0.0000, 0.0000) (multiplicity 2)
Er (0.0000, 0.0000, 0.2500) (multiplicity 2)
As (0.3333, 0.6667, 0.1206) (multiplicity 4)
Pt (0.3333, 0.6667, 0.6442) (multiplicity 4)



# 2
Entry from the Open Quantum Materials Database: a geometry-optimized ErAs2Pt8 structure (PBE).

Properties
The value obtained for the uncorrected energy is -6.123 eV/atom. As for the crystal system: monoclinic.

a = 12.170 Å, b = 4.060 Å, c = 9.599 Å
α = 90.00°, β = 127.54°, γ = 90.00°
Space group C2/m (No. 12)
Symmetry-distinct sites (fractional):
Er (0.000, 0.000, 0.000) (multiplicity 2)
As (0.069, 0.500, 0.796) (multiplicity 4)
Pt (0.033, 0.000, 0.383) (multiplicity 4)
Pt (0.173, 0.500, 0.645) (multiplicity 4)
Pt (0.176, 0.500, 0.347) (multiplicity 4)
Pt (0.226, 0.500, 0.102) (multiplicity 4)



Number 1: calculated volume 251 Å³/cell, size of the total moment 0.01 Bohr magnetons per cell. Number 2: calculated volume 376 Å³/cell, size of the total moment 0.00 Bohr magnetons per cell.